[1]
Density functional theory data (PBE-GGA) for crystalline MgGe2Pd at its relaxed geometry.

Values from the calculation:
- total magnetic moment (μB/cell) = 0.000
- energy relative to the elements (eV/atom) = -0.2197
- ρ (g cm⁻³) = 6.52
- E (eV per atom) = -4.225

Cell: 3.1269 3.1269 7.1887 Å, 90.00 90.00 90.00°
With the nearest neighbours (Å) after each atom.
Space group P4/mmm (No. 123)
One atom of each set of equivalent atoms:
Mg 0.0000 0.0000 0.0000 x1  8 Ge 2.97, 4 Mg 3.13
Ge 0.5000 0.5000 0.2758 x2  4 Pd 2.74, 4 Mg 2.97
Pd 0.0000 0.0000 0.5000 x1  8 Ge 2.74

=====

[2]
Density functional theory data (PBE-GGA) for crystalline Mg8Ge2Pd at its relaxed geometry.

Values from the calculation:
- total magnetic moment (μB/cell) = 0.000
- energy relative to the elements (eV/atom) = -0.2444
- ρ (g cm⁻³) = 3.34
- E (eV per atom) = -2.716

Cell: 15.8016 4.5712 6.6548 Å, 90.00 112.61 90.00°
With the nearest neighbours (Å) after each atom.
Space group C2/m (No. 12)
One atom of each set of equivalent atoms:
Mg 0.0261 0.0000 0.2993 x4  2 Pd 2.76, 1 Ge 2.82, 5 Mg 2.99-3.08
Mg 0.0929 0.5000 0.9379 x4  1 Pd 2.71, 2 Ge 2.83, 2 Mg 2.99
Mg 0.1625 0.5000 0.4422 x4  1 Pd 2.74, 3 Ge 2.77-2.94, 2 Mg 3.03
Mg 0.1883 0.0000 0.7761 x4  3 Ge 2.76-3.04
Ge 0.1795 0.0000 0.1827 x4  9 Mg 2.76-3.04
Pd 0.0000 0.5000 0.5000 x2  8 Mg 2.71-2.76

=====

[3]
Density functional theory data (PBE-GGA) for crystalline Mg2GePd6 at its relaxed geometry.

Values from the calculation:
- total magnetic moment (μB/cell) = 0.000
- energy relative to the elements (eV/atom) = -0.3560
- ρ (g cm⁻³) = 8.00
- E (eV per atom) = -4.685

Cell: 13.2748 5.9674 4.1763 Å, 90.00 107.67 90.00°
With the nearest neighbours (Å) after each atom.
Space group C2/m (No. 12)
One atom of each set of equivalent atoms:
Mg 0.1674 0.0000 0.1589 x4  8 Pd 2.59-2.63
Ge 0.0000 0.5000 0.5000 x2  8 Pd 2.51-2.53
Pd 0.0000 0.2600 0.0000 x4  2 Ge 2.53, 2 Mg 2.63
Pd 0.1615 0.2569 0.6548 x8  1 Ge 2.51, 3 Mg 2.59-2.61

=====

[4]
Density functional theory data (PBE-GGA) for crystalline Mg2GePd3 at its relaxed geometry.

Values from the calculation:
- total magnetic moment (μB/cell) = 0.000
- energy relative to the elements (eV/atom) = -0.5836
- ρ (g cm⁻³) = 7.56
- E (eV per atom) = -4.481

Cell: 13.6564 5.2975 5.4163 Å, 90.00 98.87 90.00°
With the nearest neighbours (Å) after each atom.
Space group C2/c (No. 15)
One atom of each set of equivalent atoms:
Mg 0.1695 0.1306 0.1018 x8  6 Pd 2.65-2.84, 1 Mg 2.90
Ge 0.0000 0.4289 0.2500 x4  6 Pd 2.56-2.73, 2 Ge 2.81
Pd 0.0000 0.0650 0.7500 x4  2 Ge 2.62-2.68, 4 Mg 2.77-2.78, 2 Pd 2.79
Pd 0.1578 0.3677 0.5662 x8  2 Ge 2.56-2.73, 4 Mg 2.65-2.84

=====

[5]
Density functional theory data (PBE-GGA) for crystalline Mg3GePd2 at its relaxed geometry.

Values from the calculation:
- total magnetic moment (μB/cell) = 0.000
- energy relative to the elements (eV/atom) = -0.3980
- ρ (g cm⁻³) = 4.94
- E (eV per atom) = -3.696

Cell: 7.3882 7.3882 15.3053 Å, 90.00 90.00 120.00°
With the nearest neighbours (Å) after each atom.
Space group R-3c (No. 167, hexagonal axes)
One atom of each set of equivalent atoms:
Mg 0.0000 0.3172 0.2500 x18  4 Pd 2.71-2.79, 2 Ge 2.83
Ge 0.0000 0.0000 0.0000 x6  2 Pd 2.46
Pd 0.0000 0.0000 0.1608 x12  1 Ge 2.46, 3 Mg 2.71, 1 Pd 2.73

=====

[6]
Density functional theory data (PBE-GGA) for crystalline Mg8GePd2 at its relaxed geometry.

Values from the calculation:
- total magnetic moment (μB/cell) = 0.000
- energy relative to the elements (eV/atom) = -0.3525
- ρ (g cm⁻³) = 3.68
- E (eV per atom) = -2.876

Cell: 4.5266 6.5643 8.2063 Å, 111.59 105.83 90.06°
With the nearest neighbours (Å) after each atom.
Space group P-1 (No. 2)
One atom of each set of equivalent atoms:
Mg 0.0227 0.2598 0.0453 x2  1 Pd 2.68, 2 Ge 2.86, 1 Mg 2.99
Mg 0.1960 0.7857 0.3918 x2  3 Pd 2.70-2.99, 2 Mg 2.95-3.01
Mg 0.3277 0.5565 0.6572 x2  3 Pd 2.73-2.88, 1 Ge 2.87, 2 Mg 3.00-3.01
Mg 0.3943 0.0505 0.7894 x2  2 Pd 2.70, 1 Ge 2.78, 4 Mg 2.95-3.00
Ge 0.5000 0.5000 0.0000 x1  8 Mg 2.78-2.87
Pd 0.1758 0.1755 0.3514 x2  9 Mg 2.68-2.99

=====

[7]
Density functional theory data (PBE-GGA) for crystalline MgGePd2 at its relaxed geometry.

Values from the calculation:
- total magnetic moment (μB/cell) = 0.000
- energy relative to the elements (eV/atom) = -0.5374
- ρ (g cm⁻³) = 8.08
- E (eV per atom) = -4.687

Cell: 3.1790 3.1790 6.3007 Å, 90.00 90.00 90.00°
With the nearest neighbours (Å) after each atom.
Space group P4/mmm (No. 123)
One atom of each set of equivalent atoms:
Mg 0.0000 0.0000 0.0000 x1  8 Pd 2.79
Ge 0.0000 0.0000 0.5000 x1  8 Pd 2.70
Pd 0.5000 0.5000 0.2620 x2  4 Ge 2.70, 4 Mg 2.79, 1 Pd 3.00

=====

[8]
Density functional theory data (PBE-GGA) for crystalline Mg4GePd7 at its relaxed geometry.

Values from the calculation:
- total magnetic moment (μB/cell) = 0.000
- energy relative to the elements (eV/atom) = -0.4489
- ρ (g cm⁻³) = 7.30
- E (eV per atom) = -4.394

Cell: 9.9377 4.7749 9.5511 Å, 90.00 113.38 90.00°
With the nearest neighbours (Å) after each atom.
Space group C2/m (No. 12)
One atom of each set of equivalent atoms:
Mg 0.0994 0.0000 0.2755 x4  8 Pd 2.65-2.96
Mg 0.1687 0.5000 0.1250 x4  4 Pd 2.61-2.67
Ge 0.0000 0.5000 0.5000 x2  6 Pd 2.39-2.53
Pd 0.0000 0.0000 0.5000 x2  2 Ge 2.39
Pd 0.0910 0.5000 0.7880 x4  1 Ge 2.53, 2 Pd 2.73-2.81
Pd 0.1317 0.0000 0.9888 x4  5 Mg 2.61-2.88, 2 Pd 2.71-2.73
Pd 0.2043 0.5000 0.4175 x4  1 Ge 2.45, 3 Mg 2.67-2.74, 1 Pd 2.72

=====

[9]
Density functional theory data (PBE-GGA) for crystalline MgGe3Pd6 at its relaxed geometry.

Values from the calculation:
- total magnetic moment (μB/cell) = 0.000
- energy relative to the elements (eV/atom) = -0.4513
- ρ (g cm⁻³) = 8.83
- E (eV per atom) = -5.112

Cell: 8.6576 4.1456 9.9084 Å, 90.00 111.29 90.00°
With the nearest neighbours (Å) after each atom.
Space group P2_1/m (No. 11)
One atom of each set of equivalent atoms:
Mg 0.1103 0.2500 0.2204 x2  9 Pd 2.71-2.84, 1 Ge 2.94
Ge 0.1950 0.7500 0.6651 x2  6 Pd 2.44-2.70
Ge 0.3107 0.2500 0.0355 x2  7 Pd 2.46-2.59
Ge 0.4154 0.2500 0.5598 x2  7 Pd 2.49-2.71
Pd 0.0979 0.2500 0.7896 x2  3 Ge 2.46-2.70, 2 Mg 2.73
Pd 0.1106 0.2500 0.5020 x2  4 Ge 2.49-2.57
Pd 0.1347 0.7500 0.0439 x2  2 Ge 2.59, 3 Mg 2.71-2.77, 1 Pd 2.86
Pd 0.2718 0.7500 0.3988 x2  3 Ge 2.59-2.64, 2 Mg 2.75, 2 Pd 2.89
Pd 0.3837 0.7500 0.9170 x2  4 Ge 2.44-2.57
Pd 0.4606 0.2500 0.3033 x2  4 Ge 2.49-2.71

=====

[10]
Density functional theory data (PBE-GGA) for crystalline Mg2GePd at its relaxed geometry.

Values from the calculation:
- total magnetic moment (μB/cell) = 0.000
- energy relative to the elements (eV/atom) = -0.4215
- ρ (g cm⁻³) = 5.47
- E (eV per atom) = -3.671

Cell: 4.2483 4.2483 3.8283 Å, 90.00 90.00 90.00°
With the nearest neighbours (Å) after each atom.
Space group P4/mmm (No. 123)
One atom of each set of equivalent atoms:
Mg 0.0000 0.5000 0.0000 x2  4 Ge 2.86, 4 Pd 2.86, 4 Mg 3.00
Ge 0.0000 0.0000 0.5000 x1  8 Mg 2.86, 4 Pd 3.00
Pd 0.5000 0.5000 0.5000 x1  8 Mg 2.86, 4 Ge 3.00

=====

[11]
Density functional theory data (PBE-GGA) for crystalline MgGe2Pd at its relaxed geometry.

Values from the calculation:
- total magnetic moment (μB/cell) = 0.000
- energy relative to the elements (eV/atom) = -0.2760
- ρ (g cm⁻³) = 6.12
- E (eV per atom) = -4.281

Cell: 4.3067 4.3067 13.9971 Å, 90.00 90.00 120.00°
With the nearest neighbours (Å) after each atom.
Space group R3m (No. 160, hexagonal axes)
One atom of each set of equivalent atoms:
Mg 0.0000 0.0000 0.0000 x3  1 Pd 2.68, 6 Ge 2.79-2.95
Ge 0.0000 0.0000 0.2197 x3  3 Pd 2.71, 1 Ge 2.85, 3 Mg 2.95
Ge 0.0000 0.0000 0.4230 x3  3 Pd 2.59, 3 Mg 2.79, 1 Ge 2.85
Pd 0.0000 0.0000 0.8086 x3  6 Ge 2.59-2.71, 1 Mg 2.68

=====

[12]
Density functional theory data (PBE-GGA) for crystalline MgGePd14 at its relaxed geometry.

Values from the calculation:
- total magnetic moment (μB/cell) = 0.001
- energy relative to the elements (eV/atom) = -0.1967
- ρ (g cm⁻³) = 10.71
- E (eV per atom) = -5.129

Cell: 9.0679 5.7594 9.4192 Å, 90.00 90.00 90.00°
With the nearest neighbours (Å) after each atom.
Space group Amm2 (No. 38)
One atom of each set of equivalent atoms:
Mg 0.0000 0.0000 0.0000 x2  10 Pd 2.66-2.90, 2 Ge 2.88
Ge 0.0000 0.0000 0.4978 x2  10 Pd 2.63-2.93, 2 Mg 2.88
Pd 0.0000 0.2484 0.2558 x4  2 Ge 2.69-2.83, 2 Mg 2.72-2.80, 8 Pd 2.74-2.90
Pd 0.2371 0.2435 0.5565 x8  1 Ge 2.63, 1 Mg 2.66, 9 Pd 2.75-2.92
Pd 0.2525 0.0000 0.3046 x4  11 Pd 2.74-2.88, 1 Ge 2.93
Pd 0.2521 0.0000 0.8105 x4  11 Pd 2.75-2.88, 1 Mg 2.90
Pd 0.5000 0.0000 0.1245 x2  12 Pd 2.74-2.88
Pd 0.5000 0.0000 0.6285 x2  12 Pd 2.76-2.88
Pd 0.5000 0.2482 0.3783 x4  12 Pd 2.74-2.92

=====

[13]
Density functional theory data (PBE-GGA) for crystalline MgGe2Pd2 at its relaxed geometry.

Values from the calculation:
- total magnetic moment (μB/cell) = 0.000
- energy relative to the elements (eV/atom) = -0.3363
- ρ (g cm⁻³) = 7.36
- E (eV per atom) = -4.579

Cell: 7.3328 7.3328 3.2113 Å, 90.00 90.00 90.00°
With the nearest neighbours (Å) after each atom.
Space group P4/mbm (No. 127)
One atom of each set of equivalent atoms:
Mg 0.0000 0.0000 0.0000 x2  4 Pd 2.83
Ge 0.1577 0.3423 0.5000 x4  6 Pd 2.64-2.72
Pd 0.1404 0.6404 0.0000 x4  6 Ge 2.64-2.72, 2 Mg 2.83, 1 Pd 2.91

=====

[14]
Density functional theory data (PBE-GGA) for crystalline Mg2GePd at its relaxed geometry.

Values from the calculation:
- total magnetic moment (μB/cell) = 0.000
- energy relative to the elements (eV/atom) = -0.4379
- ρ (g cm⁻³) = 5.39
- E (eV per atom) = -3.688

Cell: 3.2787 3.2787 6.5251 Å, 90.00 90.00 90.00°
With the nearest neighbours (Å) after each atom.
Space group P4/mmm (No. 123)
One atom of each set of equivalent atoms:
Mg 0.0000 0.0000 0.2311 x2  4 Pd 2.77, 4 Ge 2.91, 1 Mg 3.02
Ge 0.5000 0.5000 0.5000 x1  8 Mg 2.91
Pd 0.5000 0.5000 0.0000 x1  8 Mg 2.77

=====

[15]
Density functional theory data (PBE-GGA) for crystalline Mg6GePd12 at its relaxed geometry.

Values from the calculation:
- total magnetic moment (μB/cell) = 0.000
- energy relative to the elements (eV/atom) = -0.4913
- ρ (g cm⁻³) = 7.70
- E (eV per atom) = -4.518

Cell: 11.5702 11.5702 8.3466 Å, 90.00 90.00 120.00°
With the nearest neighbours (Å) after each atom.
Space group R-3 (No. 148, hexagonal axes)
One atom of each set of equivalent atoms:
Mg 0.0479 0.2185 0.2434 x18  9 Pd 2.69-2.94
Ge 0.0000 0.0000 0.5000 x3  6 Pd 2.55
Pd 0.0510 0.2322 0.5843 x18  1 Ge 2.55, 5 Pd 2.73-2.82, 4 Mg 2.78-2.85
Pd 0.0579 0.2367 0.9216 x18  4 Mg 2.69-2.81, 6 Pd 2.73-2.82

=====

[16]
Density functional theory data (PBE-GGA) for crystalline Mg3GePd4 at its relaxed geometry.

Values from the calculation:
- total magnetic moment (μB/cell) = 0.000
- energy relative to the elements (eV/atom) = -0.4812
- ρ (g cm⁻³) = 6.88
- E (eV per atom) = -4.253

Cell: 5.5859 9.2411 5.3381 Å, 90.00 90.00 90.00°
With the nearest neighbours (Å) after each atom.
Space group Imm2 (No. 44)
One atom of each set of equivalent atoms:
Mg 0.0000 0.0000 0.0000 x2  2 Pd 2.62, 2 Ge 2.88
Mg 0.0000 0.2872 0.2520 x4  6 Pd 2.67-2.81, 1 Ge 2.81, 1 Mg 2.98
Ge 0.0000 0.5000 0.6293 x2  4 Pd 2.46-2.47
Pd 0.0000 0.2429 0.7454 x4  1 Ge 2.46, 3 Mg 2.62-2.74
Pd 0.2383 0.0000 0.5019 x4  1 Ge 2.47, 1 Pd 2.66

=====

[17]
Density functional theory data (PBE-GGA) for crystalline MgGePd2 at its relaxed geometry.

Values from the calculation:
- total magnetic moment (μB/cell) = 0.000
- energy relative to the elements (eV/atom) = -0.3254
- ρ (g cm⁻³) = 7.27
- E (eV per atom) = -4.475

Cell: 7.0570 7.0570 5.6795 Å, 90.00 90.00 90.00°
With the nearest neighbours (Å) after each atom.
Space group I-42d (No. 122)
One atom of each set of equivalent atoms:
Mg 0.0000 0.0000 0.0000 x4  4 Pd 2.75, 2 Ge 2.84
Ge 0.0000 0.0000 0.5000 x4  4 Pd 2.45
Pd 0.2181 0.2500 0.6250 x8  2 Ge 2.45

=====

[18]
Density functional theory data (PBE-GGA) for crystalline Mg3Ge3Pd2 at its relaxed geometry.

Values from the calculation:
- total magnetic moment (μB/cell) = 0.000
- energy relative to the elements (eV/atom) = -0.4253
- ρ (g cm⁻³) = 5.75
- E (eV per atom) = -4.053

Cell: 4.2496 9.8723 13.8658 Å, 90.00 90.00 90.00°
With the nearest neighbours (Å) after each atom.
Space group Cmcm (No. 63)
One atom of each set of equivalent atoms:
Mg 0.0000 0.0772 0.1178 x8  3 Pd 2.84-2.99, 6 Ge 2.86-3.08
Mg 0.0000 0.3508 0.2500 x4  5 Ge 2.79-3.02, 4 Pd 2.98
Ge 0.0000 0.3668 0.7500 x4  2 Pd 2.53, 1 Mg 2.79
Ge 0.0000 0.3820 0.0367 x8  3 Pd 2.50-2.61, 1 Ge 2.54
Pd 0.0000 0.2100 0.6059 x8  4 Ge 2.50-2.61

=====

[19]
Density functional theory data (PBE-GGA) for crystalline Mg3GePd4 at its relaxed geometry.

Values from the calculation:
- total magnetic moment (μB/cell) = 0.000
- energy relative to the elements (eV/atom) = -0.6679
- ρ (g cm⁻³) = 7.50
- E (eV per atom) = -4.440

Cell: 6.2010 6.2289 13.1001 Å, 90.00 90.00 90.00°
With the nearest neighbours (Å) after each atom.
Space group Fmmm (No. 69)
One atom of each set of equivalent atoms:
Mg 0.0000 0.0000 0.0000 x4  8 Pd 2.70
Mg 0.0000 0.0000 0.2501 x8  8 Pd 2.78, 4 Mg 3.10-3.11
Ge 0.0000 0.0000 0.5000 x4  8 Pd 2.70
Pd 0.2500 0.2500 0.1196 x16  2 Ge 2.70, 6 Mg 2.70-2.78

=====

[20]
Density functional theory data (PBE-GGA) for crystalline MgGePd2 at its relaxed geometry.

Values from the calculation:
- total magnetic moment (μB/cell) = 0.000
- energy relative to the elements (eV/atom) = -0.4723
- ρ (g cm⁻³) = 7.79
- E (eV per atom) = -4.622

Cell: 3.0833 3.0833 24.0593 Å, 90.00 90.00 120.00°
With the nearest neighbours (Å) after each atom.
Space group R3m (No. 160, hexagonal axes)
One atom of each set of equivalent atoms:
Mg 0.0000 0.0000 0.0000 x3  6 Pd 2.80, 6 Mg 3.08
Ge 0.0000 0.0000 0.8335 x3  6 Pd 2.57
Pd 0.0000 0.0000 0.4230 x3  3 Ge 2.57, 3 Mg 2.80
Pd 0.0000 0.0000 0.5770 x3  3 Ge 2.57, 3 Mg 2.80